Record 1
First-principles (GGA-PBE) data for crystalline RbTlSi at its relaxed geometry, as listed in Alexandria.

POSCAR file:
```
RbTlSi
1.0
4.606 0.000 0.000
-2.303 3.989 0.000
0.000 0.000 11.572
Rb Tl Si
2 2 2
direct
0.000 0.000 0.000 Rb
0.000 0.000 0.500 Rb
0.333 0.667 0.255 Tl
0.667 0.333 0.755 Tl
0.333 0.667 0.742 Si
0.667 0.333 0.242 Si
```

Output
Symmetry = No. 186
Crystal system = hexagonal
DFT total energy = -0.10271 hartree per atom
Formation energy without anion corrections = 124 meV per atom

=====

Record 2
First-principles (GGA-PBE) data for crystalline Rb2TlSi at its relaxed geometry, as listed in Alexandria.

POSCAR file:
```
Rb2TlSi
1.0
0.000 4.269 4.269
4.269 0.000 4.269
4.269 4.269 0.000
Rb Tl Si
2 1 1
direct
0.250 0.250 0.250 Rb
0.750 0.750 0.750 Rb
0.000 0.000 0.000 Tl
0.500 0.500 0.500 Si
```

Output
E above lowest polymorph = 0.0 meV/atom
Symmetry = No. 225
Crystal system = cubic
DFT total energy = -0.07416 hartree per atom
Formation energy without anion corrections = 413 meV per atom

=====

Record 3
First-principles (GGA-PBE) data for crystalline Rb3TlSi at its relaxed geometry, as listed in Alexandria.

POSCAR file:
```
Rb3TlSi
1.0
6.811 0.000 0.000
0.000 6.811 0.000
0.000 0.000 6.811
Rb Tl Si
3 1 1
direct
0.000 0.000 0.500 Rb
0.000 0.500 0.000 Rb
0.500 0.000 0.000 Rb
0.500 0.500 0.500 Tl
0.000 0.000 0.000 Si
```

Output
E above lowest polymorph = 0.0 meV/atom
Symmetry = No. 221
Crystal system = cubic
DFT total energy = -0.06211 hartree per atom
Formation energy without anion corrections = 448 meV per atom

=====

Record 4
First-principles (GGA-PBE) data for crystalline RbTlSi at its relaxed geometry, as listed in Alexandria.

POSCAR file:
```
RbTlSi
1.0
8.701 0.000 0.000
0.000 5.047 0.000
0.000 0.000 8.148
Rb Tl Si
4 4 4
direct
0.007 0.250 0.166 Rb
0.493 0.750 0.666 Rb
0.507 0.250 0.334 Rb
0.993 0.750 0.834 Rb
0.161 0.250 0.589 Tl
0.339 0.750 0.089 Tl
0.661 0.250 0.911 Tl
0.839 0.750 0.411 Tl
0.169 0.750 0.402 Si
0.331 0.250 0.902 Si
0.669 0.750 0.098 Si
0.831 0.250 0.598 Si
```

Output
Symmetry = No. 62
Crystal system = orthorhombic
DFT total energy = -0.10133 hartree per atom
Formation energy without anion corrections = 162 meV per atom

=====

Record 5
First-principles (GGA-PBE) data for crystalline RbTlSi at its relaxed geometry, as listed in Alexandria.

POSCAR file:
```
RbTlSi
1.0
6.442 0.000 0.000
-3.221 5.579 0.000
0.000 0.000 10.130
Rb Tl Si
2 2 2
direct
0.333 0.667 0.250 Rb
0.667 0.333 0.750 Rb
0.000 0.000 0.250 Tl
0.000 0.000 0.750 Tl
0.000 0.000 0.000 Si
0.000 0.000 0.500 Si
```

Output
Symmetry = No. 194
Crystal system = hexagonal
DFT total energy = -0.08524 hartree per atom
Formation energy without anion corrections = 599 meV per atom

=====

Record 6
First-principles (GGA-PBE) data for crystalline RbTlSi at its relaxed geometry, as listed in Alexandria.

POSCAR file:
```
RbTlSi
1.0
12.972 0.000 0.000
0.000 7.210 0.000
0.000 0.000 4.551
Rb Tl Si
4 4 4
direct
0.215 0.250 0.091 Rb
0.285 0.750 0.591 Rb
0.715 0.250 0.409 Rb
0.785 0.750 0.909 Rb
0.000 0.000 0.500 Tl
0.000 0.500 0.500 Tl
0.500 0.000 0.000 Tl
0.500 0.500 0.000 Tl
0.061 0.750 0.109 Si
0.439 0.250 0.609 Si
0.561 0.750 0.391 Si
0.939 0.250 0.891 Si
```

Output
Symmetry = No. 62
Crystal system = orthorhombic
DFT total energy = -0.09829 hartree per atom
Formation energy without anion corrections = 244 meV per atom

=====

Record 7
First-principles (GGA-PBE) data for crystalline RbTlSi at its relaxed geometry, as listed in Alexandria.

POSCAR file:
```
RbTlSi
1.0
3.895 0.000 0.000
1.936 6.564 0.000
1.919 0.112 9.277
Rb Tl Si
2 2 2
direct
0.000 0.000 0.000 Rb
0.087 0.495 0.335 Rb
0.564 0.220 0.649 Tl
0.801 0.679 0.711 Tl
0.326 0.432 0.914 Si
0.707 0.559 0.028 Si
```

Output
Symmetry = No. 1
Crystal system = triclinic
DFT total energy = -0.10547 hartree per atom
Formation energy without anion corrections = 49 meV per atom

=====

Record 8
First-principles (GGA-PBE) data for crystalline RbTlSi at its relaxed geometry, as listed in Alexandria.

POSCAR file:
```
RbTlSi
1.0
4.816 0.000 0.000
0.000 4.816 0.000
0.000 0.000 8.513
Rb Tl Si
2 2 2
direct
0.250 0.250 0.155 Rb
0.750 0.750 0.845 Rb
0.250 0.750 0.500 Tl
0.750 0.250 0.500 Tl
0.250 0.250 0.696 Si
0.750 0.750 0.304 Si
```

Output
Symmetry = No. 129
Crystal system = tetragonal
DFT total energy = -0.10121 hartree per atom
Formation energy without anion corrections = 165 meV per atom